# 1
Here is a geometry-optimized Ba3NCl3 structure from Alexandria via LeMat-Bulk. Energies are from PBE-GGA.

## Properties
As for the calculated volume: 34.27 Å³/atom. The space-group type is C2/m, No. 12. The density is 3.68 Mg/m³. The calculated total energy is -64.5 eV per cell. The value obtained for the energy relative to the elements, uncorrected is -1800 meV per atom.

```
Ba3NCl3
1.0
4.454 -6.951 0.000
4.454 6.951 0.000
-1.460 0.000 7.749
Ba N Cl
6 2 6
Direct
0.100 0.100 0.311
0.165 0.451 0.769
0.451 0.165 0.769
0.549 0.835 0.231
0.835 0.549 0.231
0.900 0.900 0.689
0.181 0.181 0.641
0.819 0.819 0.359
0.171 0.829 0.000
0.254 0.746 0.500
0.391 0.391 0.141
0.609 0.609 0.859
0.746 0.254 0.500
0.829 0.171 0.000
```


# 2
Here is a geometry-optimized Ba4N2Cl structure from Alexandria via LeMat-Bulk. Energies are from PBE-GGA.

## Properties
As for the calculated volume: 32.02 Å³/atom. The space-group type is R-3m, No. 166. The density is 4.54 Mg/m³. The calculated total energy is -32.6 eV per cell. The value obtained for the energy relative to the elements, uncorrected is -915 meV per atom.

```
Ba4N2Cl
1.0
2.052 1.185 15.360
-2.052 1.185 15.360
0.000 -2.370 15.360
Ba N Cl
4 2 1
Direct
0.116 0.116 0.116
0.282 0.282 0.282
0.718 0.718 0.718
0.884 0.884 0.884
0.417 0.417 0.417
0.583 0.583 0.583
0.000 0.000 0.000
```


# 3
Here is a geometry-optimized BaNCl3 structure from Alexandria via LeMat-Bulk. Energies are from PBE-GGA.

## Properties
As for the calculated volume: 40.61 Å³/atom. The space-group type is C2/c, No. 15. The density is 2.11 Mg/m³. The calculated total energy is -70.0 eV per cell. The value obtained for the energy relative to the elements, uncorrected is -340 meV per atom.

```
BaNCl3
1.0
8.081 -9.353 0.000
8.081 9.353 0.000
-1.239 0.000 5.373
Ba N Cl
4 4 12
Direct
0.075 0.291 0.379
0.291 0.075 0.879
0.709 0.925 0.121
0.925 0.709 0.621
0.298 0.702 0.750
0.434 0.566 0.250
0.566 0.434 0.750
0.702 0.298 0.250
0.072 0.544 0.371
0.112 0.886 0.003
0.114 0.888 0.497
0.175 0.289 0.911
0.289 0.175 0.411
0.456 0.928 0.129
0.544 0.072 0.871
0.711 0.825 0.589
0.825 0.711 0.089
0.886 0.112 0.503
0.888 0.114 0.997
0.928 0.456 0.629
```


# 4
Here is a geometry-optimized Ba3NCl3 structure from Alexandria via LeMat-Bulk. Energies are from PBE-GGA.

## Properties
As for the calculated volume: 37.10 Å³/atom. The space-group type is P4_2/mnm, No. 136. The density is 3.40 Mg/m³. The calculated total energy is -126.5 eV per cell. The value obtained for the energy relative to the elements, uncorrected is -1711 meV per atom.

```
Ba3NCl3
1.0
13.173 0.000 0.000
0.000 13.173 0.000
0.000 0.000 5.986
Ba N Cl
12 4 12
Direct
0.093 0.093 0.000
0.103 0.698 0.000
0.198 0.397 0.500
0.302 0.897 0.000
0.397 0.198 0.500
0.407 0.593 0.500
0.593 0.407 0.500
0.603 0.802 0.500
0.698 0.103 0.000
0.802 0.603 0.500
0.897 0.302 0.000
0.907 0.907 0.000
0.110 0.890 0.000
0.390 0.390 0.500
0.610 0.610 0.500
0.890 0.110 0.000
0.125 0.366 0.000
0.134 0.625 0.500
0.160 0.160 0.500
0.340 0.660 0.000
0.366 0.125 0.000
0.375 0.866 0.500
0.625 0.134 0.500
0.634 0.875 0.000
0.660 0.340 0.000
0.840 0.840 0.500
0.866 0.375 0.500
0.875 0.634 0.000
```


# 5
Here is a geometry-optimized Ba4NCl3 structure from Alexandria via LeMat-Bulk. Energies are from PBE-GGA.

## Properties
As for the calculated volume: 30.75 Å³/atom. The space-group type is Cmmm, No. 65. The density is 4.52 Mg/m³. The calculated total energy is -67.5 eV per cell. The value obtained for the energy relative to the elements, uncorrected is -1526 meV per atom.

```
Ba4NCl3
1.0
9.145 0.000 0.000
0.000 12.548 0.000
0.000 0.000 4.288
Ba N Cl
8 2 6
Direct
0.000 0.223 0.000
0.000 0.777 0.000
0.207 0.000 0.500
0.293 0.500 0.500
0.500 0.277 0.000
0.500 0.723 0.000
0.707 0.500 0.500
0.793 0.000 0.500
0.000 0.000 0.000
0.500 0.500 0.000
0.000 0.500 0.000
0.250 0.250 0.500
0.250 0.750 0.500
0.500 0.000 0.000
0.750 0.250 0.500
0.750 0.750 0.500
```


# 6
Here is a geometry-optimized Ba12N3Cl5 structure from Alexandria via LeMat-Bulk. Energies are from PBE-GGA.

## Properties
As for the calculated volume: 36.83 Å³/atom. The space-group type is Ia-3d, No. 230. The density is 4.21 Mg/m³. The calculated total energy is -278.7 eV per cell. The value obtained for the energy relative to the elements, uncorrected is -620 meV per atom.

```
Ba12N3Cl5
1.0
-9.031 9.031 9.031
9.031 -9.031 9.031
9.031 9.031 -9.031
Ba N Cl
48 12 20
Direct
0.054 0.624 0.381
0.054 0.930 0.673
0.070 0.243 0.124
0.070 0.327 0.946
0.119 0.743 0.673
0.119 0.876 0.446
0.124 0.070 0.243
0.124 0.554 0.881
0.173 0.243 0.619
0.173 0.430 0.554
0.243 0.124 0.070
0.243 0.619 0.173
0.257 0.327 0.881
0.257 0.430 0.376
0.327 0.881 0.257
0.327 0.946 0.070
0.376 0.257 0.430
0.376 0.619 0.946
0.381 0.054 0.624
0.381 0.827 0.757
0.430 0.376 0.257
0.430 0.554 0.173
0.446 0.119 0.876
0.446 0.827 0.570
0.554 0.173 0.430
0.554 0.881 0.124
0.570 0.446 0.827
0.570 0.624 0.743
0.619 0.173 0.243
0.619 0.946 0.376
0.624 0.381 0.054
0.624 0.743 0.570
0.673 0.054 0.930
0.673 0.119 0.743
0.743 0.570 0.624
0.743 0.673 0.119
0.757 0.381 0.827
0.757 0.876 0.930
0.827 0.570 0.446
0.827 0.757 0.381
0.876 0.446 0.119
0.876 0.930 0.757
0.881 0.124 0.554
0.881 0.257 0.327
0.930 0.673 0.054
0.930 0.757 0.876
0.946 0.070 0.327
0.946 0.376 0.619
0.125 0.250 0.375
0.125 0.375 0.750
0.250 0.375 0.125
0.250 0.875 0.625
0.375 0.125 0.250
0.375 0.750 0.125
0.625 0.250 0.875
0.625 0.875 0.750
0.750 0.125 0.375
0.750 0.625 0.875
0.875 0.625 0.250
0.875 0.750 0.625
0.000 0.000 0.000
0.000 0.000 0.500
0.000 0.500 0.000
0.000 0.500 0.500
0.125 0.750 0.875
0.125 0.875 0.250
0.250 0.125 0.875
0.250 0.625 0.375
0.375 0.250 0.625
0.375 0.625 0.750
0.500 0.000 0.000
0.500 0.000 0.500
0.500 0.500 0.000
0.500 0.500 0.500
0.625 0.375 0.250
0.625 0.750 0.375
0.750 0.375 0.625
0.750 0.875 0.125
0.875 0.125 0.750
0.875 0.250 0.125
```